# 1
Density functional theory data (GGA-PBE) for a relaxed AlSi2Pt crystal.

Computed properties:
* spin magnetization: 0.00 Bohr magnetons per cell
* symmetry: P4/mmm
* ΔE_f (raw): -77 meV/atom

POSCAR file:
```
AlSi2Pt
1.0
2.888 0.000 0.000
0.000 2.888 0.000
0.000 0.000 7.256
Al Si Pt
1 2 1
Direct
0.000 0.000 0.000
0.500 0.500 0.263
0.500 0.500 0.737
0.000 0.000 0.500
```

# 2
Density functional theory data (GGA-PBE) for a relaxed KCl crystal.

Computed properties:
* spin magnetization: 0.00 Bohr magnetons per cell
* symmetry: Fd-3m
* ΔE_f (raw): -1466 meV/atom

POSCAR file:
```
KCl
1.0
0.000 3.859 3.859
3.859 0.000 3.859
3.859 3.859 0.000
K Cl
2 2
Direct
0.125 0.125 0.125
0.875 0.875 0.875
0.375 0.375 0.375
0.625 0.625 0.625
```

# 3
Density functional theory data (GGA-PBE) for a relaxed MnSi2MoIr crystal.

Computed properties:
* spin magnetization: 3.13 Bohr magnetons per cell
* symmetry: P4/mmm
* ΔE_f (raw): 910 meV/atom

POSCAR file:
```
MnSi2MoIr
1.0
4.272 0.000 0.000
0.000 4.272 0.000
0.000 0.000 4.547
Mn Si Mo Ir
1 2 1 1
Direct
0.000 0.000 0.000
0.000 0.500 0.000
0.500 0.000 0.000
0.500 0.500 0.500
0.000 0.000 0.500
```

# 4
Density functional theory data (GGA-PBE) for a relaxed La2MgAuS crystal.

Computed properties:
* spin magnetization: 0.00 Bohr magnetons per cell
* symmetry: P4/mmm
* ΔE_f (raw): -34 meV/atom

POSCAR file:
```
La2MgAuS
1.0
5.776 0.000 0.000
0.000 5.776 0.000
0.000 0.000 4.701
La Mg Au S
2 1 1 1
Direct
0.000 0.500 0.000
0.500 0.000 0.000
0.000 0.000 0.000
0.000 0.000 0.500
0.500 0.500 0.500
```

# 5
Density functional theory data (GGA-PBE) for a relaxed NdHf4 crystal.

Computed properties:
* spin magnetization: 0.00 Bohr magnetons per cell
* symmetry: Pm-3m
* energy of formation from the pure elements: 147.9 kJ per mole of atoms

POSCAR file:
```
NdHf4
1.0
5.137 0.000 0.000
0.000 5.137 0.000
0.000 0.000 5.137
Nd Hf
1 4
Direct
0.000 0.000 0.000
0.000 0.000 0.500
0.000 0.500 0.000
0.500 0.000 0.000
0.500 0.500 0.500
```

# 6
Density functional theory data (GGA-PBE) for a relaxed La2HoThSe4 crystal.

Computed properties:
* spin magnetization: 0.00 Bohr magnetons per cell
* symmetry: P2/m
* ΔE_f (raw): -1811 meV/atom

POSCAR file:
```
La2HoThSe4
1.0
7.309 0.000 0.000
0.000 4.189 0.000
-2.409 0.000 6.953
La Ho Th Se
2 1 1 4
Direct
0.000 0.000 0.000
0.000 0.500 0.500
0.500 0.000 0.500
0.500 0.500 0.000
0.261 0.000 0.745
0.266 0.500 0.263
0.734 0.500 0.737
0.739 0.000 0.255
```

# 7
Density functional theory data (GGA-PBE) for a relaxed K3La2TmO6 crystal.

Computed properties:
* spin magnetization: 0.00 Bohr magnetons per cell
* symmetry: C2/m
* ΔE_f (raw): -2703 meV/atom

POSCAR file:
```
K3La2TmO6
1.0
3.138 -5.439 0.000
3.138 5.439 0.000
-2.088 0.000 6.284
K La Tm O
3 2 1 6
Direct
0.000 0.000 0.000
0.338 0.662 0.000
0.662 0.338 0.000
0.167 0.833 0.500
0.833 0.167 0.500
0.500 0.500 0.500
0.122 0.437 0.312
0.247 0.247 0.687
0.437 0.122 0.312
0.563 0.878 0.688
0.753 0.753 0.313
0.878 0.563 0.688
```

# 8
Density functional theory data (GGA-PBE) for a relaxed BeHgOs2 crystal.

Computed properties:
* spin magnetization: 0.00 Bohr magnetons per cell
* symmetry: I4/mmm
* energy of formation from the pure elements: 87.1 kJ per mole of atoms
* relative energy among the computed polymorphs: 632 meV per atom

POSCAR file:
```
BeHgOs2
1.0
-1.893 1.893 4.181
1.893 -1.893 4.181
1.893 1.893 -4.181
Be Hg Os
1 1 2
Direct
0.000 0.000 0.000
0.500 0.500 0.000
0.250 0.750 0.500
0.750 0.250 0.500
```

Repeat the second record exactly.
Density functional theory data (GGA-PBE) for a relaxed KCl crystal.

Computed properties:
* spin magnetization: 0.00 Bohr magnetons per cell
* symmetry: Fd-3m
* ΔE_f (raw): -1466 meV/atom

POSCAR file:
```
KCl
1.0
0.000 3.859 3.859
3.859 0.000 3.859
3.859 3.859 0.000
K Cl
2 2
Direct
0.125 0.125 0.125
0.875 0.875 0.875
0.375 0.375 0.375
0.625 0.625 0.625
```

Which of these has the highest spin magnetization?
MnSi2MoIr